## Ca2AlH2OF7 (GGA-PBE)

Data for a geometry-optimized Ca2AlH2OF7 structure.

Cell lengths 5.873, 5.939, 9.362 Å; angles 76.95, 79.17, 73.03 degrees
Sites, in units of the cell vectors:
Ca 0.086 0.086 0.142
Ca 0.344 0.342 0.701
Ca 0.656 0.658 0.299
Ca 0.914 0.914 0.858
Al 0.000 0.000 0.500
Al 0.500 0.500 0.000
H 0.286 0.368 0.370
H 0.459 0.793 0.604
H 0.541 0.207 0.396
H 0.714 0.632 0.630
O 0.427 0.359 0.415
O 0.573 0.641 0.585
F 0.044 0.691 0.606
F 0.132 0.156 0.893
F 0.182 0.050 0.623
F 0.258 0.614 0.879
F 0.267 0.912 0.368
F 0.320 0.329 0.132
F 0.393 0.745 0.108
F 0.607 0.255 0.892
F 0.680 0.671 0.868
F 0.733 0.088 0.632
F 0.742 0.386 0.121
F 0.818 0.950 0.377
F 0.868 0.844 0.107
F 0.956 0.309 0.394

Properties
The final energy comes out at -5.653 eV per atom. The density is 2842 kg/m³. Its space group is No. 2.